Computed, not measured: crystalline RbZnInAu at its relaxed geometry at the PBE-GGA level of DFT.

```
RbZnInAu
1.0
4.658 0.000 0.000
-2.323 4.054 0.000
-2.320 -1.350 6.594
Rb Zn In Au
1 1 1 1
direct
0.000 0.000 0.000 Rb
0.945 0.472 0.417 Zn
0.379 0.193 0.572 In
0.616 0.809 0.425 Au
```

- V (Å³/atom) = 31.1
- crystal system = triclinic
- E_form (eV per atom) = -0.208
- space group = P1